[1]
MnCd2RuC | PBE | relaxed

Calculated values
Space group: No. 123
DOS(E_F): 2.79 states/eV/cell
Uncorrected energy: -5.1308 eV/atom

```
MnCd2RuC
1.0
-1.318 4.380 -0.588
-3.725 -1.019 0.758
0.691 0.811 4.487
C Cd Ru Mn
1 2 1 1
direct
0.000 0.000 0.000
0.500 0.000 0.000
0.000 0.000 0.500
0.000 0.500 0.000
0.500 0.500 0.500
```

[2]
Er4AlPd | PBE | relaxed

Calculated values
Space group: No. 216
Excess energy over the best structure of this formula in the dataset: 0.000 eV per formula unit
DOS(E_F): 20.22 states/eV/cell
Uncorrected energy: -5.0260 eV/atom

```
Er4AlPd
1.0
3.754 -8.705 -0.741
7.673 -1.422 -5.434
8.394 -1.917 4.035
Er Pd Al
16 4 4
direct
0.558 0.942 0.942
0.394 0.819 0.394
0.942 0.942 0.558
0.184 0.816 0.816
0.816 0.816 0.184
0.394 0.394 0.819
0.394 0.394 0.394
0.184 0.816 0.184
0.816 0.184 0.184
0.819 0.394 0.394
0.942 0.558 0.558
0.816 0.184 0.816
0.558 0.558 0.942
0.942 0.558 0.942
0.558 0.942 0.558
0.184 0.184 0.816
0.605 0.605 0.605
0.605 0.186 0.605
0.605 0.605 0.186
0.186 0.605 0.605
0.172 0.172 0.485
0.485 0.172 0.172
0.172 0.485 0.172
0.172 0.172 0.172
```

[3]
La2CrSe | PBE | relaxed

Calculated values
Space group: No. 123
DOS(E_F): 3.64 states/eV/cell
Uncorrected energy: -6.2723 eV/atom

```
La2CrSe
1.0
-4.121 0.828 1.035
-1.101 -4.021 -1.166
1.073 -1.996 5.868
La Se Cr
2 1 1
direct
0.000 0.000 0.875
0.500 0.500 0.375
0.000 0.000 0.375
0.500 0.500 0.875
```

[4]
PrSm4Hg | PBE | relaxed

Calculated values
Space group: No. 123
Excess energy over the best structure of this formula in the dataset: 0.000 eV per formula unit
DOS(E_F): 8.06 states/eV/cell
Uncorrected energy: -4.1388 eV/atom

```
PrSm4Hg
1.0
3.676 0.000 0.000
0.000 3.676 0.000
0.000 0.000 14.247
Sm Pr Hg
4 1 1
direct
0.500 0.500 0.182
0.000 0.000 0.359
0.000 0.000 0.641
0.500 0.500 0.818
0.000 0.000 0.000
0.500 0.500 0.500
```

[5]
PmMg2Sb | PBE | relaxed

Calculated values
Space group: No. 225
Excess energy over the best structure of this formula in the dataset: 1.572 eV per formula unit
DOS(E_F): 4.16 states/eV/cell
Uncorrected energy: -3.1039 eV/atom

```
PmMg2Sb
1.0
-2.359 0.346 4.712
2.875 -0.289 4.420
0.688 4.298 2.988
Mg Pm Sb
2 1 1
direct
0.250 0.250 0.250
0.750 0.750 0.750
0.500 0.500 0.500
0.000 0.000 0.000
```

[6]
RbYPb | PBE | relaxed

Calculated values
Space group: No. 2
Excess energy over the best structure of this formula in the dataset: 0.039 eV per formula unit
DOS(E_F): 5.16 states/eV/cell
Uncorrected energy: -3.9867 eV/atom

```
RbYPb
1.0
-0.746 1.828 -3.284
-4.605 -0.861 0.567
-1.432 12.132 7.183
Pb Rb Y
2 2 2
direct
0.860 0.169 0.236
0.368 0.666 0.549
0.872 0.164 0.737
0.356 0.672 0.048
0.866 0.167 0.469
0.362 0.668 0.316
```

[7]
BaBeTe2Cl | PBE | relaxed

Calculated values
Space group: No. 123
DOS(E_F): 4.98 states/eV/cell
Uncorrected energy: -2.4658 eV/atom

```
BaBeTe2Cl
1.0
-0.694 -5.460 4.257
1.007 -3.638 -4.503
6.820 0.198 1.365
Te Ba Be Cl
2 1 1 1
direct
0.000 0.000 0.500
0.500 0.000 0.000
0.000 0.000 0.000
0.500 0.500 0.500
0.000 0.500 0.000
```

[8]
Tb6Dy12Y | PBE | relaxed

Calculated values
Space group: No. 148
Excess energy over the best structure of this formula in the dataset: 0.000 eV per formula unit
DOS(E_F): 32.25 states/eV/cell
Uncorrected energy: -4.5530 eV/atom

```
Tb6Dy12Y
1.0
-2.991 5.807 -5.475
-7.763 -0.371 3.499
1.870 6.351 5.367
Tb Dy Y
6 12 1
direct
0.258 0.092 0.690
0.742 0.908 0.310
0.908 0.310 0.742
0.690 0.258 0.092
0.092 0.690 0.258
0.310 0.742 0.908
0.774 0.542 0.436
0.206 0.356 0.012
0.226 0.458 0.564
0.436 0.774 0.542
0.794 0.644 0.988
0.356 0.012 0.206
0.988 0.794 0.644
0.644 0.988 0.794
0.542 0.436 0.774
0.564 0.226 0.458
0.458 0.564 0.226
0.012 0.206 0.356
0.000 0.000 0.000
```